Record 1
VASP calculation (PBE-GGA) on a geometry-optimized PrHfTh2 structure.

a = 12.3129 Å, b = 12.3129 Å, c = 12.3129 Å
α = 15.93°, β = 15.93°, γ = 15.93°
Sites, in units of the cell vectors:
Pr 0.0000 0.0000 0.0000
Hf 0.5000 0.5000 0.5000
Th 0.0916 0.0916 0.0916
Th 0.9084 0.9084 0.9084

Properties
Its calculated volume is 30.638 Å³/atom. As for the formation energy: 264 meV per atom. As for the symmetry: R-3m (166).



Record 2
VASP calculation (PBE-GGA) on a geometry-optimized TlAgSbPd2 structure.

a = 5.0591 Å, b = 5.0591 Å, c = 5.1248 Å
α = 90.00°, β = 90.00°, γ = 90.00°
Sites, in units of the cell vectors:
Tl 0.0000 0.0000 0.0000
Ag 0.0000 0.0000 0.5000
Sb 0.5000 0.5000 0.5000
Pd 0.0000 0.5000 0.0000
Pd 0.5000 0.0000 0.0000

Properties
The uncorrected formation energy comes out at 0.694 eV/atom. Its calculated volume is 26.233 Å³/atom. As for the symmetry: P4/mmm (123).



Record 3
VASP calculation (PBE-GGA) on a geometry-optimized InSN2Cl structure.

a = 4.0247 Å, b = 4.0247 Å, c = 4.7533 Å
α = 90.00°, β = 90.00°, γ = 90.00°
Sites, in units of the cell vectors:
In 0.0000 0.0000 0.0000
S 0.5000 0.5000 0.0000
N 0.0000 0.5000 0.5000
N 0.5000 0.0000 0.5000
Cl 0.5000 0.5000 0.5000

Properties
The uncorrected formation energy comes out at 1.935 eV/atom. Its calculated volume is 15.399 Å³/atom. As for the symmetry: P4/mmm (123).



Record 4
VASP calculation (PBE-GGA) on a geometry-optimized In2AsSe structure.

a = 4.1169 Å, b = 4.1169 Å, c = 5.7589 Å
α = 90.00°, β = 90.00°, γ = 90.00°
Sites, in units of the cell vectors:
In 0.0000 0.0000 0.0000
In 0.5000 0.5000 0.5000
As 0.0000 0.0000 0.5000
Se 0.5000 0.5000 0.0000

Properties
The uncorrected formation energy comes out at -0.289 eV/atom. Its calculated volume is 24.402 Å³/atom. As for the symmetry: P4/mmm (123).



Record 5
VASP calculation (PBE-GGA) on a geometry-optimized ErMgCuPt structure.

a = 4.7051 Å, b = 4.7051 Å, c = 4.7051 Å
α = 60.00°, β = 60.00°, γ = 60.00°
Sites, in units of the cell vectors:
Er 0.0000 0.0000 0.0000
Mg 0.5000 0.5000 0.5000
Cu 0.2500 0.2500 0.2500
Pt 0.7500 0.7500 0.7500

Properties
Its calculated volume is 18.413 Å³/atom. As for the formation energy: -673 meV per atom. As for the symmetry: F-43m (216).



Record 6
VASP calculation (PBE-GGA) on a geometry-optimized Pm5Y2Tm5 structure.

a = 7.9677 Å, b = 7.9677 Å, c = 11.3212 Å
α = 115.08°, β = 115.08°, γ = 36.87°
Sites, in units of the cell vectors:
Pm 0.0000 0.0000 0.0000
Pm 0.0852 0.0852 0.7507
Pm 0.1655 0.1655 0.4996
Pm 0.8345 0.8345 0.5004
Pm 0.9148 0.9148 0.2493
Y 0.4169 0.4169 0.7519
Y 0.5831 0.5831 0.2481
Tm 0.2495 0.2495 0.2479
Tm 0.3315 0.3315 0.9988
Tm 0.5000 0.5000 0.5000
Tm 0.6685 0.6685 0.0012
Tm 0.7505 0.7505 0.7521

Properties
Its calculated volume is 32.147 Å³/atom. As for the formation energy: 22 meV per atom. As for the symmetry: C2/m (12).



Record 7
VASP calculation (PBE-GGA) on a geometry-optimized Hf2Al5FeCu2 structure.

a = 9.8634 Å, b = 9.8634 Å, c = 3.1514 Å
α = 90.00°, β = 90.00°, γ = 90.00°
Sites, in units of the cell vectors:
Hf 0.1758 0.3242 0.0000
Hf 0.3242 0.8242 0.0000
Hf 0.6758 0.1758 0.0000
Hf 0.8242 0.6758 0.0000
Al 0.0000 0.5000 0.5000
Al 0.0526 0.8099 0.5000
Al 0.1901 0.0526 0.5000
Al 0.3099 0.5526 0.5000
Al 0.4474 0.3099 0.5000
Al 0.5000 0.0000 0.5000
Al 0.5526 0.6901 0.5000
Al 0.6901 0.4474 0.5000
Al 0.8099 0.9474 0.5000
Al 0.9474 0.1901 0.5000
Fe 0.0000 0.0000 0.0000
Fe 0.5000 0.5000 0.0000
Cu 0.1316 0.6316 0.0000
Cu 0.3684 0.1316 0.0000
Cu 0.6316 0.8684 0.0000
Cu 0.8684 0.3684 0.0000

Properties
Its calculated volume is 15.329 Å³/atom. As for the formation energy: -300 meV per atom. As for the symmetry: P4/mbm (127).



Record 8
VASP calculation (PBE-GGA) on a geometry-optimized Tb8Pm3Pr3 structure.

a = 9.8082 Å, b = 9.8082 Å, c = 9.8082 Å
α = 146.08°, β = 112.84°, γ = 77.41°
Sites, in units of the cell vectors:
Tb 0.0577 0.8971 0.1605
Tb 0.0598 0.7207 0.3391
Tb 0.2634 0.1029 0.1605
Tb 0.3817 0.7207 0.6609
Tb 0.6183 0.2793 0.3391
Tb 0.7366 0.8971 0.8395
Tb 0.9402 0.2793 0.6609
Tb 0.9423 0.1029 0.8395
Pm 0.3130 0.3130 0.0000
Pm 0.5000 0.0000 0.5000
Pm 0.6870 0.6870 0.0000
Pr 0.0000 0.5000 0.5000
Pr 0.3046 0.5000 0.8046
Pr 0.6954 0.5000 0.1954

Properties
Its calculated volume is 33.942 Å³/atom. As for the formation energy: 111 meV per atom. As for the symmetry: Immm (71).